1.
A geometry-optimized Ce5CdGe2 structure, computed with PBE-GGA.

abc: 5.219 5.449 16.942
angles: 90.00 90.00 118.61
Atoms (fractional coordinates):
Ce  0.911  0.821  0.900
Ce  0.911  0.821  0.600
Ce  0.435  0.870  0.431
Ce  0.435  0.870  0.069
Ce  0.761  0.522  0.250
Ce  0.239  0.478  0.750
Ce  0.565  0.130  0.569
Ce  0.565  0.130  0.931
Ce  0.089  0.179  0.100
Ce  0.089  0.179  0.400
Cd  0.562  0.124  0.750
Cd  0.438  0.876  0.250
Ge  0.766  0.532  0.427
Ge  0.766  0.532  0.073
Ge  0.234  0.468  0.573
Ge  0.234  0.468  0.927

Values from the calculation:
**Total energy**: -5.3179 eV per atom

***

2.
A geometry-optimized CeCdGe structure, computed with PBE-GGA.

abc: 5.016 5.016 7.024
angles: 90.00 90.00 120.00
Atoms (fractional coordinates):
Ce  0.667  0.333  0.128
Ce  0.333  0.667  0.872
Cd  0.333  0.667  0.401
Cd  0.667  0.333  0.599
Ge  0.000  0.000  0.184
Ge  0.000  0.000  0.816

Values from the calculation:
**Total energy**: -3.9949 eV per atom

***

3.
A geometry-optimized CeCdGe2 structure, computed with PBE-GGA.

abc: 4.149 4.574 4.574
angles: 90.00 90.00 90.00
Atoms (fractional coordinates):
Ge  0.000  0.000  0.500
Ge  0.000  0.500  0.000
Ce  0.500  0.000  0.000
Cd  0.500  0.500  0.500

Values from the calculation:
**E above lowest polymorph**: 0.032 eV/atom

***

4.
A geometry-optimized Ce3Cd2Ge3 structure, computed with PBE-GGA.

abc: 6.148 8.788 8.788
angles: 120.00 90.00 90.00
Atoms (fractional coordinates):
Ce  0.750  0.309  0.000
Ce  0.750  0.691  0.691
Ce  0.750  0.000  0.309
Ce  0.250  0.691  0.000
Ce  0.250  0.309  0.309
Ce  0.250  0.000  0.691
Cd  0.000  0.333  0.667
Cd  0.500  0.667  0.333
Cd  0.000  0.667  0.333
Cd  0.500  0.333  0.667
Ge  0.750  0.643  0.000
Ge  0.750  0.357  0.357
Ge  0.750  0.000  0.643
Ge  0.250  0.357  0.000
Ge  0.250  0.643  0.643
Ge  0.250  0.000  0.357

Values from the calculation:
**Total energy**: -4.6297 eV per atom

***

| no. | D(E_F) (states/eV/atom) |
| --- | --- |
| 1 | 2.950 |
| 2 | 2.138 |
| 3 | 1.082 |
| 4 | 2.250 |